# 1
## LaTbPuSn (PBE)

Data for LaTbPuSn after structural relaxation.

DFT formation energy, eV/atom: -0.126
M_tot, μB/f.u.: 7.20
E_tot, Ha/atom: -0.261

Lattice parameters (Å, degrees): 5.519 5.519 5.519 60.00 60.00 60.00
Last column: magnetic moment on the atom in μB.
Sites, in units of the cell vectors:
Tb: 0.250 0.250 0.250  0.55
La: 0.000 0.000 0.000  0.22
Pu: 0.500 0.500 0.500  5.62
Sn: 0.750 0.750 0.750  -0.03

# 2
## LaPu2Zn2Sn2 (PBE)

Data for LaPu2Zn2Sn2 after structural relaxation.

DFT formation energy, eV/atom: -0.292
M_tot, μB/f.u.: 12.01
E_tot, Ha/atom: -0.242

Lattice parameters (Å, degrees): 4.674 4.674 9.665 76.01 76.01 60.00
Last column: magnetic moment on the atom in μB.
Sites, in units of the cell vectors:
Pu: 0.855 0.855 0.435  5.66
Zn: 0.428 0.428 0.715  0.02
Pu: 0.145 0.145 0.565  5.66
Sn: 0.737 0.737 0.789  -0.02
La: 0.000 0.000 0.000  0.07
Sn: 0.263 0.263 0.211  -0.02
Zn: 0.572 0.572 0.285  0.02

# 3
## SrLa2Pu (PBE)

Data for SrLa2Pu after structural relaxation.

DFT formation energy, eV/atom: 0.161
M_tot, μB/f.u.: 5.98
E_tot, Ha/atom: -0.232

Lattice parameters (Å, degrees): 3.720 3.720 10.797 90.00 90.00 90.00
Last column: magnetic moment on the atom in μB.
Sites, in units of the cell vectors:
La: 0.000 0.000 0.789  0.07
Pu: 0.500 0.500 0.000  5.51
La: 0.000 0.000 0.211  0.07
Sr: 0.500 0.500 0.500  -0.03

# 4
## Sr3La2PuTe6 (PBE)

Data for Sr3La2PuTe6 after structural relaxation.

M_tot, μB/f.u.: 6.19
Energy relative to the elements, uncorrected, eV/atom: -1.54
E_tot, Ha/atom: -0.204

Lattice parameters (Å, degrees): 4.608 9.328 10.403 103.80 102.79 90.00
Last column: magnetic moment on the atom in μB.
Sites, in units of the cell vectors:
Te: 0.336 0.915 0.673  -0.02
La: 0.834 0.668 0.669  0.05
Sr: 0.167 0.834 0.334  0.01
Sr: 0.833 0.166 0.666  0.01
Te: 0.668 0.581 0.336  0.00
Pu: 0.500 0.000 0.000  5.61
Te: 0.001 0.241 0.002  -0.04
Te: 0.664 0.085 0.327  -0.02
La: 0.166 0.332 0.331  0.05
Te: 0.332 0.419 0.664  0.00
Sr: 0.500 0.500 0.000  0.01
Te: 0.999 0.759 0.998  -0.04

# 5
## LaTbPu (PBE)

Data for LaTbPu after structural relaxation.

DFT formation energy, eV/atom: 0.139
M_tot, μB/f.u.: 6.28
Polymorph energy (0 for the lowest one), meV per atom: 15.1
E_tot, Ha/atom: -0.288

Lattice parameters (Å, degrees): 3.584 3.584 8.646 90.00 90.00 120.00
Last column: magnetic moment on the atom in μB.
Sites, in units of the cell vectors:
Tb: 0.667 0.333 0.342  -0.07
Pu: 0.333 0.667 0.664  -5.65
La: 0.000 0.000 0.994  -0.01

# 6
## La2TbPu (PBE)

Data for La2TbPu after structural relaxation.

DFT formation energy, eV/atom: 0.200
M_tot, μB/f.u.: 7.81
Polymorph energy (0 for the lowest one), meV per atom: 89.1
E_tot, Ha/atom: -0.257

Lattice parameters (Å, degrees): 5.743 5.743 5.743 60.00 60.00 60.00
Last column: magnetic moment on the atom in μB.
Sites, in units of the cell vectors:
La: 0.250 0.250 0.250  0.29
Pu: 0.500 0.500 0.500  5.68
La: 0.750 0.750 0.750  0.29
Tb: 0.000 0.000 0.000  0.33

# 7
## La2TbPu (PBE)

Data for La2TbPu after structural relaxation.

DFT formation energy, eV/atom: 0.144
M_tot, μB/f.u.: 6.52
Polymorph energy (0 for the lowest one), meV per atom: 32.2
E_tot, Ha/atom: -0.259

Lattice parameters (Å, degrees): 4.982 5.121 5.121 90.00 90.00 90.00
Last column: magnetic moment on the atom in μB.
Sites, in units of the cell vectors:
Tb: 0.500 0.500 0.500  -0.12
La: 0.000 0.000 0.500  -0.10
Pu: 0.500 0.000 0.000  -5.55
La: 0.000 0.500 0.000  -0.10

# 8
## La4Tb3Pu (PBE)

Data for La4Tb3Pu after structural relaxation.

DFT formation energy, eV/atom: 0.145
M_tot, μB/f.u.: 6.55
E_tot, Ha/atom: -0.215

Lattice parameters (Å, degrees): 3.521 11.659 8.954 130.59 101.34 90.00
Last column: magnetic moment on the atom in μB.
Sites, in units of the cell vectors:
Pu: 0.500 0.000 0.000  -5.67
La: 0.629 0.376 0.258  -0.03
La: 0.371 0.624 0.742  -0.03
Tb: 0.000 0.500 0.000  0.07
Tb: 0.770 0.770 0.540  -0.12
Tb: 0.230 0.230 0.460  -0.12
La: 0.629 0.882 0.258  -0.03
La: 0.371 0.118 0.742  -0.03

# 9
## LaTbPu (PBE)

Data for LaTbPu after structural relaxation.

DFT formation energy, eV/atom: 0.124
M_tot, μB/f.u.: 6.11
Polymorph energy (0 for the lowest one), meV per atom: 0.0
E_tot, Ha/atom: -0.288

Lattice parameters (Å, degrees): 3.568 3.568 7.938 102.99 102.99 90.00
Last column: magnetic moment on the atom in μB.
Sites, in units of the cell vectors:
La: 0.287 0.287 0.573  0.00
Pu: 0.952 0.952 0.905  5.64
Tb: 0.611 0.611 0.222  -0.01

# 10
## La2TbPu (PBE)

Data for La2TbPu after structural relaxation.

DFT formation energy, eV/atom: 0.257
M_tot, μB/f.u.: 6.39
Polymorph energy (0 for the lowest one), meV per atom: 145.9
E_tot, Ha/atom: -0.255

Lattice parameters (Å, degrees): 3.524 3.524 12.678 82.01 82.01 60.00
Last column: magnetic moment on the atom in μB.
Sites, in units of the cell vectors:
Pu: 0.000 0.000 0.000  5.76
La: 0.914 0.914 0.259  0.05
Tb: 0.500 0.500 0.500  0.00
La: 0.086 0.086 0.741  0.05

# 11
## LaTb2Pu (PBE)

Data for LaTb2Pu after structural relaxation.

DFT formation energy, eV/atom: 0.119
M_tot, μB/f.u.: 6.11
Polymorph energy (0 for the lowest one), meV per atom: 7.2
E_tot, Ha/atom: -0.258

Lattice parameters (Å, degrees): 3.569 3.569 11.811 81.35 81.35 60.04
Last column: magnetic moment on the atom in μB.
Sites, in units of the cell vectors:
La: 0.501 0.501 0.498  -0.02
Tb: 0.079 0.079 0.761  0.05
Pu: 0.666 0.666 0.002  5.55
Tb: 0.253 0.253 0.239  0.08

# 12
## La2TbPu (PBE)

Data for La2TbPu after structural relaxation.

DFT formation energy, eV/atom: 0.124
M_tot, μB/f.u.: 6.31
Polymorph energy (0 for the lowest one), meV per atom: 12.9
E_tot, Ha/atom: -0.260

Lattice parameters (Å, degrees): 3.632 3.632 11.847 81.18 81.18 60.00
Last column: magnetic moment on the atom in μB.
Sites, in units of the cell vectors:
La: 0.252 0.252 0.245  0.07
La: 0.082 0.082 0.755  0.04
Pu: 0.667 0.667 0.998  5.65
Tb: 0.499 0.499 0.502  -0.07